## NdNpCr2O6 (GGA+U)

Data for crystalline NdNpCr2O6 at its relaxed geometry.

Lattice parameters (Å, degrees): 5.5216 5.6404 5.7072 62.15 89.86 60.90
Atoms (fractional coordinates):
Nd1 0.0000 0.0000 0.0000
Np1 0.5213 0.9655 0.5464
Cr1 0.2247 0.5568 0.6543
Cr2 0.7362 0.5311 0.1860
O1 0.1106 0.0233 0.3995
O2 0.3559 0.0922 0.8540
O3 0.4479 0.4586 0.3885
O4 0.5693 0.4914 0.8729
O5 0.8584 0.7002 0.3866
O6 0.9463 0.6827 0.8776

The calculation puts the density at 7346 kg/m3. The value obtained for the density of states at the Fermi level is 12.305 states/eV per cell. Its raw total energy is -8.73 eV per atom.

## NdCrO3 (GGA+U)

Data for crystalline NdCrO3 at its relaxed geometry.

Lattice parameters (Å, degrees): 5.6335 7.8143 5.4742 90.00 90.00 90.00
Atoms (fractional coordinates):
Nd1 0.0531 0.2500 0.0135
Nd2 0.4469 0.7500 0.5135
Nd3 0.5531 0.2500 0.4865
Nd4 0.9469 0.7500 0.9865
Cr1 0.0000 0.0000 0.5000
Cr2 0.0000 0.5000 0.5000
Cr3 0.5000 0.0000 0.0000
Cr4 0.5000 0.5000 0.0000
O1 0.0261 0.7500 0.4089
O2 0.2064 0.5485 0.7950
O3 0.2064 0.9515 0.7950
O4 0.2936 0.0485 0.2950
O5 0.2936 0.4515 0.2950
O6 0.4739 0.2500 0.9089
O7 0.5261 0.7500 0.0911
O8 0.7064 0.5485 0.7050
O9 0.7064 0.9515 0.7050
O10 0.7936 0.0485 0.2050
O11 0.7936 0.4515 0.2050
O12 0.9739 0.2500 0.5911

The calculation puts the density at 6732 kg/m3. The value obtained for the density of states at the Fermi level is 0.000 states/eV per cell. Its raw total energy is -8.16 eV per atom.

## Nd3Cr5O12 (GGA+U)

Data for crystalline Nd3Cr5O12 at its relaxed geometry.

Lattice parameters (Å, degrees): 11.0886 11.0886 11.0886 109.47 109.47 109.47
Atoms (fractional coordinates):
Nd1 0.1250 0.2500 0.3750
Nd2 0.1250 0.3750 0.7500
Nd3 0.2500 0.3750 0.1250
Nd4 0.2500 0.8750 0.6250
Nd5 0.3750 0.1250 0.2500
Nd6 0.3750 0.7500 0.1250
Nd7 0.6250 0.2500 0.8750
Nd8 0.6250 0.8750 0.7500
Nd9 0.7500 0.1250 0.3750
Nd10 0.7500 0.6250 0.8750
Nd11 0.8750 0.6250 0.2500
Nd12 0.8750 0.7500 0.6250
Cr1 0.0000 0.0000 0.0000
Cr2 0.0000 0.0000 0.5000
Cr3 0.0000 0.5000 0.0000
Cr4 0.0000 0.5000 0.5000
Cr5 0.1250 0.7500 0.8750
Cr6 0.1250 0.8750 0.2500
Cr7 0.2500 0.1250 0.8750
Cr8 0.2500 0.6250 0.3750
Cr9 0.3750 0.2500 0.6250
Cr10 0.3750 0.6250 0.7500
Cr11 0.5000 0.0000 0.0000
Cr12 0.5000 0.0000 0.5000
Cr13 0.5000 0.5000 0.0000
Cr14 0.5000 0.5000 0.5000
Cr15 0.6250 0.3750 0.2500
Cr16 0.6250 0.7500 0.3750
Cr17 0.7500 0.3750 0.6250
Cr18 0.7500 0.8750 0.1250
Cr19 0.8750 0.1250 0.7500
Cr20 0.8750 0.2500 0.1250
O1 0.0251 0.2003 0.1259
O2 0.0251 0.3248 0.8992
O3 0.0744 0.7003 0.6752
O4 0.0744 0.8741 0.3992
O5 0.1008 0.6259 0.4256
O6 0.1008 0.9749 0.6752
O7 0.1259 0.0251 0.2003
O8 0.1259 0.6008 0.9256
O9 0.1752 0.2003 0.5744
O10 0.1752 0.4749 0.6008
O11 0.2003 0.1259 0.0251
O12 0.2003 0.5744 0.1752
O13 0.2997 0.3248 0.9256
O14 0.2997 0.4749 0.3741
O15 0.3248 0.8992 0.0251
O16 0.3248 0.9256 0.2997
O17 0.3741 0.2997 0.4749
O18 0.3741 0.5744 0.8992
O19 0.3992 0.0744 0.8741
O20 0.3992 0.8248 0.5251
O21 0.4256 0.1008 0.6259
O22 0.4256 0.8248 0.7997
O23 0.4749 0.3741 0.2997
O24 0.4749 0.6008 0.1752
O25 0.5251 0.3992 0.8248
O26 0.5251 0.6259 0.7003
O27 0.5744 0.1752 0.2003
O28 0.5744 0.8992 0.3741
O29 0.6008 0.1752 0.4749
O30 0.6008 0.9256 0.1259
O31 0.6259 0.4256 0.1008
O32 0.6259 0.7003 0.5251
O33 0.6752 0.0744 0.7003
O34 0.6752 0.1008 0.9749
O35 0.7003 0.5251 0.6259
O36 0.7003 0.6752 0.0744
O37 0.7997 0.4256 0.8248
O38 0.7997 0.8741 0.9749
O39 0.8248 0.5251 0.3992
O40 0.8248 0.7997 0.4256
O41 0.8741 0.3992 0.0744
O42 0.8741 0.9749 0.7997
O43 0.8992 0.0251 0.3248
O44 0.8992 0.3741 0.5744
O45 0.9256 0.1259 0.6008
O46 0.9256 0.2997 0.3248
O47 0.9749 0.6752 0.1008
O48 0.9749 0.7997 0.8741

The calculation puts the density at 5599 kg/m3. Its raw total energy is -7.93 eV per atom.

## NdCrO3 (GGA+U)

Data for crystalline NdCrO3 at its relaxed geometry.

Lattice parameters (Å, degrees): 3.8972 3.8972 3.8972 90.00 90.00 90.00
Atoms (fractional coordinates):
Nd1 0.0000 0.0000 0.0000
Cr1 0.5000 0.5000 0.5000
O1 0.0000 0.5000 0.5000
O2 0.5000 0.0000 0.5000
O3 0.5000 0.5000 0.0000

The calculation puts the density at 6852 kg/m3. The value obtained for the density of states at the Fermi level is 0.000 states/eV per cell. Its raw total energy is -8.02 eV per atom.

Total magnetization for every record listed, in sequence, given in μB per formula unit: 10.0, 3.0, 15.0, 3.0.